1.
Entry from the Alexandria database: a geometry-optimized MnInPbBr5 structure (GGA-PBE).

Output
As for the crystal system: monoclinic. Its total magnetization is 5.00 μB per formula unit. As for the total energy: -60.57 eV for the cell shown. The formation energy without anion corrections is -788 meV per atom.

Lattice parameters (Å, degrees): 8.068 8.068 10.734 104.29 104.29 106.23
Site moments in Bohr magnetons follow the coordinates.
Sites, in units of the cell vectors:
Br: 0.102 0.898 0.250  0.01
Br: 0.736 0.605 0.437  0.05
Br: 0.340 0.921 0.637  0.04
Br: 0.898 0.102 0.750  0.01
Br: 0.605 0.736 0.937  0.05
Br: 0.264 0.395 0.563  0.05
Br: 0.660 0.079 0.363  0.04
Br: 0.395 0.264 0.063  0.05
Br: 0.079 0.660 0.863  0.04
Br: 0.921 0.340 0.137  0.04
In: 0.347 0.653 0.250  0.01
In: 0.653 0.347 0.750  0.01
Pb: 0.000 0.000 0.000  0.02
Pb: 0.000 0.000 0.500  0.02
Mn: 0.682 0.318 0.250  4.32
Mn: 0.318 0.682 0.750  4.32

***

2.
Entry from the Alexandria database: a geometry-optimized MnInPb2Br8 structure (GGA-PBE).

Output
As for the crystal system: monoclinic. Its total magnetization is 4.54 μB per formula unit. As for the total energy: -42.04 eV for the cell shown. The formation energy without anion corrections is -778 meV per atom.

Lattice parameters (Å, degrees): 7.086 6.714 8.609 90.00 90.00 89.38
Site moments in Bohr magnetons follow the coordinates.
Sites, in units of the cell vectors:
Pb: 0.500 0.500 0.759  0.01
Pb: 0.500 0.500 0.241  0.01
Br: 0.313 0.235 0.000  0.02
Br: 0.849 0.221 0.770  0.00
Br: 0.151 0.779 0.230  0.00
Br: 0.849 0.221 0.230  0.00
Br: 0.329 0.255 0.500  -0.02
Br: 0.687 0.765 0.000  0.02
Br: 0.671 0.745 0.500  -0.02
Br: 0.151 0.779 0.770  0.00
Mn: 0.000 0.000 0.000  4.35
In: 0.000 0.000 0.500  -0.13

***

3.
Entry from the Alexandria database: a geometry-optimized RbMnIn2Br6 structure (GGA-PBE).

Output
As for the crystal system: monoclinic. Its total magnetization is 4.36 μB per formula unit. As for the total energy: -68.86 eV for the cell shown. The formation energy without anion corrections is -878 meV per atom.

Lattice parameters (Å, degrees): 7.300 8.548 11.085 90.00 88.35 90.00
Site moments in Bohr magnetons follow the coordinates.
Sites, in units of the cell vectors:
Br: 0.192 0.155 0.476  0.01
Br: 0.650 0.130 0.295  -0.02
Br: 0.147 0.263 0.128  -0.01
Br: 0.808 0.845 0.524  0.01
Br: 0.692 0.345 0.976  0.01
Br: 0.353 0.763 0.372  -0.01
Br: 0.350 0.870 0.705  -0.02
Br: 0.853 0.737 0.872  -0.01
Br: 0.647 0.237 0.628  -0.01
Br: 0.150 0.370 0.795  -0.02
Br: 0.308 0.655 0.024  0.01
Br: 0.850 0.630 0.205  -0.02
Rb: 0.500 0.000 0.000  0.00
Rb: 0.000 0.500 0.500  0.00
Mn: 0.000 0.500 0.000  4.30
Mn: 0.500 0.000 0.500  4.30
In: 0.510 0.546 0.787  -0.08
In: 0.010 0.954 0.287  -0.08
In: 0.990 0.046 0.713  -0.08
In: 0.490 0.454 0.213  -0.08

***

4.
Entry from the Alexandria database: a geometry-optimized Rb4Mn3InBr12 structure (GGA-PBE).

Output
As for the crystal system: cubic. Its total magnetization is 14.17 μB per formula unit. As for the total energy: -77.11 eV for the cell shown. The formation energy without anion corrections is -1146 meV per atom.

Lattice parameters (Å, degrees): 9.485 9.485 9.485 109.47 109.47 109.47
Site moments in Bohr magnetons follow the coordinates.
Sites, in units of the cell vectors:
Br: 0.737 0.737 0.000  0.00
Br: 0.500 0.750 0.250  0.05
Br: 0.263 0.263 0.000  0.00
Br: 0.500 0.250 0.750  0.05
Br: 0.000 0.263 0.263  0.00
Br: 0.750 0.500 0.250  0.05
Br: 0.750 0.250 0.500  0.05
Br: 0.000 0.737 0.737  0.00
Br: 0.250 0.500 0.750  0.05
Br: 0.263 0.000 0.263  0.00
Br: 0.737 0.000 0.737  0.00
Br: 0.250 0.750 0.500  0.05
In: 0.000 0.000 0.000  -0.17
Rb: 0.500 0.000 0.000  0.00
Rb: 0.500 0.500 0.500  0.00
Rb: 0.000 0.500 0.000  0.00
Rb: 0.000 0.000 0.500  0.00
Mn: 0.500 0.500 0.000  4.34
Mn: 0.500 0.000 0.500  4.34
Mn: 0.000 0.500 0.500  4.34

***

5.
Entry from the Alexandria database: a geometry-optimized Rb3Mn2InBr9 structure (GGA-PBE).

Output
As for the crystal system: trigonal. Its total magnetization is 9.26 μB per formula unit. As for the total energy: -56.25 eV for the cell shown. The formation energy without anion corrections is -1148 meV per atom.

Lattice parameters (Å, degrees): 7.765 7.765 9.550 90.00 90.00 120.00
Site moments in Bohr magnetons follow the coordinates.
Sites, in units of the cell vectors:
Mn: 0.333 0.667 0.160  4.30
Mn: 0.667 0.333 0.840  4.30
Br: 0.500 0.500 0.000  0.05
Br: 0.652 0.826 0.322  0.00
Br: 0.826 0.652 0.678  0.00
Br: 0.500 0.000 0.000  0.05
Br: 0.000 0.500 0.000  0.05
Br: 0.826 0.174 0.678  0.00
Br: 0.174 0.826 0.322  0.00
Br: 0.348 0.174 0.678  0.00
Br: 0.174 0.348 0.322  0.00
Rb: 0.000 0.000 0.000  0.00
Rb: 0.667 0.333 0.325  0.00
Rb: 0.333 0.667 0.675  0.00
In: 0.000 0.000 0.500  -0.14

***

6.
Entry from the Alexandria database: a geometry-optimized Rb3MnIn3Br8 structure (GGA-PBE).

Output
As for the crystal system: trigonal. Its total magnetization is 4.93 μB per formula unit. As for the total energy: -50.26 eV for the cell shown. The formation energy without anion corrections is -1106 meV per atom.

Lattice parameters (Å, degrees): 9.488 9.488 9.588 119.66 90.00 120.00
Site moments in Bohr magnetons follow the coordinates.
Sites, in units of the cell vectors:
Br: 0.791 0.994 0.697  0.03
Br: 0.203 0.994 0.697  0.03
Br: 0.209 0.006 0.303  0.03
Br: 0.203 0.406 0.697  0.03
Br: 0.797 0.594 0.303  0.03
Br: 0.747 0.494 0.741  0.00
Br: 0.253 0.506 0.259  0.00
Br: 0.797 0.006 0.303  0.03
Mn: 0.000 0.000 0.500  4.37
Rb: 0.000 0.000 0.000  0.00
Rb: 0.500 0.500 0.000  0.00
Rb: 0.000 0.500 0.000  0.00
In: 0.500 0.000 0.500  0.01
In: 0.000 0.500 0.500  0.01
In: 0.500 0.500 0.500  0.01